# 1
The following is a GGA-PBE calculation of a geometry-optimized La10PmPr4 structure, from Alexandria via LeMat-Bulk.

a = 11.697 Å, b = 11.697 Å, c = 8.099 Å
α = 90.00°, β = 90.00°, γ = 90.00°
Space group I4/mmm (No. 139)
Inequivalent atoms, fractional coordinates:
La  0.000  0.215  0.207 [16 per cell]
La  0.000  0.500  0.250 [4 per cell]
Pm  0.000  0.000  0.500 [2 per cell]
Pr  0.225  0.225  0.500 [8 per cell]

energy of formation from the pure elements: 0.19 eV per atom

=====

# 2
The following is a GGA-PBE calculation of a geometry-optimized CsNaTl2Hg structure, from Alexandria via LeMat-Bulk.

a = 5.224 Å, b = 5.445 Å, c = 13.299 Å
α = 90.00°, β = 90.00°, γ = 90.00°
Space group Imm2 (No. 44)
Inequivalent atoms, fractional coordinates:
Cs  0.000  0.000  0.000 [2 per cell]
Na  0.000  0.500  0.740 [2 per cell]
Tl  0.000  0.000  0.377 [2 per cell]
Tl  0.000  0.500  0.252 [2 per cell]
Hg  0.000  0.000  0.614 [2 per cell]

energy of formation from the pure elements: -0.13 eV per atom